[1]
VASP calculation (PBE) on LiPmCdSb after structural relaxation.

Lattice parameters (Å, degrees): 5.2154 5.2154 5.2154 60.00 60.00 60.00
Fractional coordinates of all 4 atoms:
Sb: 0.2500 0.2500 0.2500
Cd: 0.7500 0.7500 0.7500
Li: 0.0000 0.0000 0.0000
Pm: 0.5000 0.5000 0.5000

Values from the calculation:
Theoretical density in g/cm³: 6.392
Space-group type: No. 216
D(E_F) in states/eV per atom: 0.592
Energy in Ry per atom: -0.2498
Uncorrected formation energy in meV per atom: -474

***

[2]
VASP calculation (PBE) on LaZnB after structural relaxation.

Lattice parameters (Å, degrees): 18.9035 3.1943 3.9283 90.00 90.00 90.00
Each line ends with the local moment (μB).
Fractional coordinates of all 12 atoms:
Zn: 0.0000 0.5000 0.9067  0.00
Zn: 0.5000 0.0000 0.9067  0.00
Zn: 0.0000 0.0000 0.4072  0.00
Zn: 0.5000 0.5000 0.4072  0.00
B: 0.2375 0.0000 0.9034  0.01
B: 0.7625 0.0000 0.9034  0.01
B: 0.7375 0.5000 0.9034  0.01
B: 0.2625 0.5000 0.9034  0.01
La: 0.3431 0.0000 0.4034  0.13
La: 0.6569 0.0000 0.4034  0.13
La: 0.8431 0.5000 0.4034  0.13
La: 0.1569 0.5000 0.4034  0.13

Values from the calculation:
Theoretical density in g/cm³: 6.024
Space-group type: No. 35
D(E_F) in states/eV per atom: 0.552
Calculated formation energy in eV per atom: -0.24
Energy in Ry per atom: -0.3333

***

[3]
VASP calculation (PBE) on Be2NiBr after structural relaxation.

Lattice parameters (Å, degrees): 6.6120 6.6120 6.6120 27.32 27.32 27.32
Fractional coordinates of all 4 atoms:
Ni: 0.7500 0.7500 0.7500
Br: 0.2500 0.2500 0.2500
Be: 0.0118 0.0118 0.0118
Be: 0.4882 0.4882 0.4882

Values from the calculation:
Theoretical density in g/cm³: 4.840
Space-group type: No. 166
D(E_F) in states/eV per atom: 0.452
Energy in Ry per atom: -0.2446
Uncorrected formation energy in meV per atom: 399

***

[4]
VASP calculation (PBE) on ScTaFe2 after structural relaxation.

Lattice parameters (Å, degrees): 4.2594 4.2594 5.2947 77.44 77.44 41.97
Each line ends with the local moment (μB).
Fractional coordinates of all 4 atoms:
Fe: 0.9922 0.9922 0.0370  0.89
Fe: 0.5078 0.5078 0.4630  0.89
Sc: 0.7500 0.7500 0.7500  -0.14
Ta: 0.2500 0.2500 0.2500  -0.20

Values from the calculation:
Theoretical density in g/cm³: 8.973
Space-group type: No. 12
D(E_F) in states/eV per atom: 0.914
Calculated formation energy in eV per atom: 0.20
Energy in Ry per atom: -0.6306

***

| no. | magnetic moment (μB/cell) |
| --- | --- |
| 1 | 0.00 |
| 2 | 0.89 |
| 3 | 0.00 |
| 4 | 1.29 |